--- i ---
Compound: Mn2TeAs
Source: the Alexandria database
Functional: PBE
Structure: relaxed

a = 4.2806 Å, b = 4.2806 Å, c = 8.2231 Å
α = 74.91°, β = 74.91°, γ = 90.00°
Positions (direct):
As 0.5000 0.5000 0.0000
As 0.2500 0.7500 0.5000
Mn 0.3750 0.4367 0.7500
Mn 0.1867 0.6250 0.2500
Mn 0.8750 0.8133 0.7500
Mn 0.5633 0.1250 0.2500
Te 0.7500 0.2500 0.5000
Te 0.0000 0.0000 0.0000

Computed properties:
For the density of states at the Fermi level, the calculation gives 17.24 states/eV/cell. The symmetry is I-42d.

=====

--- ii ---
Compound: Mn2TeAs
Source: the Alexandria database
Functional: PBE
Structure: relaxed

a = 5.5698 Å, b = 5.5698 Å, c = 5.5698 Å
α = 138.50°, β = 138.50°, γ = 60.14°
Each line ends with the local moment (μB).
Positions (direct):
Mn 0.0000 0.0000 0.0000  3.62
Mn 0.2500 0.7500 0.5000  3.74
Te 0.5000 0.5000 0.0000  -0.03
As 0.7500 0.2500 0.5000  -0.08

Computed properties:
For the density of states at the Fermi level, the calculation gives 3.65 states/eV/cell. The symmetry is I-4m2.

=====

--- iii ---
Compound: Mn2TeAs
Source: the Alexandria database
Functional: PBE
Structure: relaxed

a = 9.5672 Å, b = 9.5672 Å, c = 9.5672 Å
α = 18.64°, β = 18.64°, γ = 18.64°
Each line ends with the local moment (μB).
Positions (direct):
Te 0.5223 0.5223 0.5223  -0.07
Mn 0.2620 0.2620 0.2620  3.02
Mn 0.9950 0.9950 0.9950  1.63
As 0.7207 0.7207 0.7207  -0.10

Computed properties:
For the density of states at the Fermi level, the calculation gives 3.07 states/eV/cell. The symmetry is R3m.

=====

--- iv ---
Compound: Mn2TeAs
Source: the Alexandria database
Functional: PBE
Structure: relaxed

a = 4.3688 Å, b = 4.3688 Å, c = 6.6472 Å
α = 72.39°, β = 72.39°, γ = 44.06°
Each line ends with the local moment (μB).
Positions (direct):
Mn 0.0144 0.0144 0.0159  2.82
Mn 0.2438 0.2438 0.1999  2.39
Te 0.4817 0.4817 0.3838  -0.10
As 0.7601 0.7601 0.9003  -0.16

Computed properties:
For the density of states at the Fermi level, the calculation gives 2.47 states/eV/cell. The symmetry is Cm.

=====

Stability ranking, top entry: iv; the second entry is 272 meV/atom less favorable.

=====

--- i ---
Compound: Mn2TeAs
Source: the Alexandria database
Functional: PBE
Structure: relaxed

a = 7.2640 Å, b = 4.5649 Å, c = 3.3166 Å
α = 89.94°, β = 62.91°, γ = 129.07°
Each line ends with the local moment (μB).
Positions (direct):
Te 0.0000 0.5000 0.5000  -0.14
As 0.5000 0.5000 0.0000  -0.17
Mn 0.5000 0.0000 0.5000  3.15
Mn 0.0000 0.0000 0.0000  3.15

Computed properties:
For the density of states at the Fermi level, the calculation gives 3.16 states/eV/cell. The symmetry is Cmmm.

=====

--- ii ---
Compound: Mn2TeAs
Source: the Alexandria database
Functional: PBE
Structure: relaxed

a = 6.5533 Å, b = 6.5533 Å, c = 6.5533 Å
α = 147.96°, β = 150.14°, γ = 44.36°
Each line ends with the local moment (μB).
Positions (direct):
Mn 0.7672 0.2672 0.5000  3.26
Mn 0.0674 0.0674 0.0000  3.19
As 0.2097 0.7097 0.5000  -0.14
Te 0.4556 0.4556 0.0000  -0.11

Computed properties:
For the density of states at the Fermi level, the calculation gives 2.65 states/eV/cell. The symmetry is Imm2.

=====

Stability ranking, top entry: ii; the second entry is 212 meV/atom less favorable.

=====

--- i ---
Compound: Mn2TeAs
Source: the Alexandria database
Functional: PBE
Structure: relaxed

a = 3.3516 Å, b = 3.3516 Å, c = 6.9151 Å
α = 90.00°, β = 90.00°, γ = 90.00°
Each line ends with the local moment (μB).
Positions (direct):
Mn 0.5000 0.5000 0.2239  2.86
Mn 0.0000 0.0000 0.0060  3.07
Te 0.0000 0.0000 0.4083  -0.10
As 0.5000 0.5000 0.8618  -0.10

Computed properties:
For the density of states at the Fermi level, the calculation gives 2.28 states/eV/cell. The symmetry is P4mm.

=====

--- ii ---
Compound: Mn2TeAs
Source: the Alexandria database
Functional: PBE
Structure: relaxed

a = 3.0704 Å, b = 3.0704 Å, c = 6.1708 Å
α = 90.00°, β = 90.00°, γ = 90.00°
Positions (direct):
Mn 0.0000 0.0000 0.5247
Mn 0.0000 0.0000 0.9753
As 0.5000 0.5000 0.7500
Te 0.5000 0.5000 0.2500

Computed properties:
For the density of states at the Fermi level, the calculation gives 3.96 states/eV/cell. The symmetry is P4/mmm.

=====

--- iii ---
Compound: Mn2TeAs
Source: the Alexandria database
Functional: PBE
Structure: relaxed

a = 4.8302 Å, b = 4.3111 Å, c = 4.3187 Å
α = 73.61°, β = 90.00°, γ = 90.00°
Each line ends with the local moment (μB).
Positions (direct):
Mn 0.0000 0.0011 0.0003  3.46
Mn 0.5000 0.2355 0.2361  3.44
Te 0.0000 0.3920 0.3919  -0.07
As 0.5000 0.8714 0.8717  -0.13

Computed properties:
For the density of states at the Fermi level, the calculation gives 2.21 states/eV/cell. The symmetry is Amm2.

=====

--- iv ---
Compound: Mn2TeAs
Source: the Alexandria database
Functional: PBE
Structure: relaxed

a = 4.7338 Å, b = 4.7338 Å, c = 4.7338 Å
α = 60.00°, β = 60.00°, γ = 60.00°
Each line ends with the local moment (μB).
Positions (direct):
Te 0.7500 0.7500 0.7500  -0.06
Mn 0.0000 0.0000 0.0000  3.49
Mn 0.2500 0.2500 0.2500  3.59
As 0.5000 0.5000 0.5000  -0.08

Computed properties:
For the density of states at the Fermi level, the calculation gives 5.09 states/eV/cell. The symmetry is F-43m.

=====

Stability ranking, top entry: i; the second entry is 116 meV/atom less favorable.